Computed, not measured: an optimized crystal structure of La6Tl2Co at the PBE level of DFT.

a = 7.4564 Å, b = 7.4204 Å, c = 12.7566 Å
α = 90.00°, β = 125.13°, γ = 90.00°
Space group P2_1/c (No. 14)
Symmetry-distinct sites (fractional):
La (0.1992, 0.0009, 0.2493) (multiplicity 4)
La (0.2702, 0.2434, 0.5237) (multiplicity 4)
La (0.2826, 0.7498, 0.0249) (multiplicity 4)
Tl (0.2566, 0.5033, 0.2532) (multiplicity 4)
Co (0.0000, 0.0000, 0.0000) (multiplicity 2)

The value obtained for the formation energy is -0.260 eV per atom. Its crystal system is monoclinic. As for the density of states at the Fermi level: 11.08 states/eV/f.u.